No. 1
This record from Alexandria via LeMat-Bulk describes crystalline Mn2MoCl at its relaxed geometry. The functional is PBE-GGA.

a = 4.003 Å, b = 4.003 Å, c = 7.856 Å
α = 90.00°, β = 90.00°, γ = 90.00°
Space group I4/mmm (No. 139)
Asymmetric unit:
Mn (0.000, 0.500, 0.250) x4
Mo (0.000, 0.000, 0.000) x2
Cl (0.000, 0.000, 0.500) x2

Computed properties:
density: 6.37 g/cm3
Fermi-level density of states: 0.774 states/eV per atom
volume: 15.73 Å³/atom
polymorph energy (0 for the lowest one): 669 meV/atom
magnetic moment: 10.77 Bohr magnetons per cell
energy: -0.255 Ha/atom

---

No. 2
This record from Alexandria via LeMat-Bulk describes crystalline Sm3Er4Zn at its relaxed geometry. The functional is PBE-GGA.

a = 3.552 Å, b = 3.552 Å, c = 18.809 Å
α = 90.00°, β = 90.00°, γ = 90.00°
Space group P4/mmm (No. 123)
Asymmetric unit:
Sm (0.000, 0.000, 0.000) x1
Sm (0.000, 0.000, 0.270) x2
Er (0.500, 0.500, 0.135) x2
Er (0.500, 0.500, 0.407) x2
Zn (0.000, 0.000, 0.500) x1

Computed properties:
density: 8.29 g/cm3
Fermi-level density of states: 1.162 states/eV per atom
volume: 29.67 Å³/atom
magnetic moment: 0.00 Bohr magnetons per cell
formation enthalpy at 0 K: -7 kJ per mole of atoms
energy: -0.157 Ha/atom

---

No. 3
This record from Alexandria via LeMat-Bulk describes crystalline Ce2TmCu9 at its relaxed geometry. The functional is PBE-GGA.

a = 5.1088 Å, b = 5.1088 Å, c = 25.3759 Å
α = 90.00°, β = 90.00°, γ = 120.00°
Space group R-3m (No. 166, hexagonal axes)
Asymmetric unit:
Ce (0.0000, 0.0000, 0.1453) x6
Tm (0.0000, 0.0000, 0.0000) x3
Cu (0.0000, 0.0000, 0.3320) x6
Cu (0.0000, 0.0000, 0.5000) x3
Cu (0.0031, 0.5016, 0.0799) x18

Computed properties:
density: 8.87 g/cm3
Fermi-level density of states: 1.099 states/eV per atom
volume: 15.93 Å³/atom
magnetic moment: 2.61 Bohr magnetons per cell
formation enthalpy at 0 K: -14 kJ per mole of atoms
energy: -0.168 Ha/atom

---

No. 4
This record from Alexandria via LeMat-Bulk describes crystalline BaTiZn2 at its relaxed geometry. The functional is PBE-GGA.

a = 5.060 Å, b = 5.060 Å, c = 18.920 Å
α = 90.00°, β = 90.00°, γ = 90.00°
Space group I4_1/amd (No. 141, origin choice 2)
Asymmetric unit:
Ba (0.000, 0.250, 0.375) x4
Ti (0.000, 0.250, 0.875) x4
Zn (0.000, 0.000, 0.000) x8

Computed properties:
density: 4.33 g/cm3
Fermi-level density of states: 1.660 states/eV per atom
volume: 30.28 Å³/atom
polymorph energy (0 for the lowest one): 67 meV/atom
magnetic moment: 10.56 Bohr magnetons per cell
formation enthalpy at 0 K: 37 kJ per mole of atoms
energy: -0.100 Ha/atom

---

No. 5
This record from Alexandria via LeMat-Bulk describes crystalline ZrAgRu2 at its relaxed geometry. The functional is PBE-GGA.

a = 6.462 Å, b = 6.462 Å, c = 6.462 Å
α = 90.00°, β = 90.00°, γ = 90.00°
Space group F-43m (No. 216)
Asymmetric unit:
Zr (0.000, 0.000, 0.000) x4
Ag (0.250, 0.250, 0.250) x4
Ru (0.000, 0.000, 0.500) x4
Ru (0.250, 0.250, 0.750) x4

Computed properties:
density: 9.88 g/cm3
Fermi-level density of states: 1.473 states/eV per atom
volume: 16.86 Å³/atom
polymorph energy (0 for the lowest one): 229 meV/atom
magnetic moment: 5.22 Bohr magnetons per cell
formation enthalpy at 0 K: 21 kJ per mole of atoms
energy: -0.267 Ha/atom

---

No. 6
This record from Alexandria via LeMat-Bulk describes crystalline Nd8CuNi2 at its relaxed geometry. The functional is PBE-GGA.

a = 8.356 Å, b = 12.933 Å, c = 6.220 Å
α = 90.00°, β = 107.85°, γ = 90.00°
Space group Cm (No. 8)
Asymmetric unit:
Nd (0.000, 0.000, 0.000) x2
Nd (0.078, 0.367, 0.793) x4
Nd (0.144, 0.134, 0.565) x4
Nd (0.228, 0.500, 0.380) x2
Nd (0.354, 0.213, 0.183) x4
Cu (0.369, 0.000, 0.385) x2
Ni (0.366, 0.309, 0.696) x4

Computed properties:
density: 6.93 g/cm3
Fermi-level density of states: 1.391 states/eV per atom
volume: 29.09 Å³/atom
polymorph energy (0 for the lowest one): 104 meV/atom
magnetic moment: 0.00 Bohr magnetons per cell
formation enthalpy at 0 K: -1 kJ per mole of atoms
energy: -0.180 Ha/atom